First-principles (PBE-GGA) data for an optimized crystal structure of Sr2BeAu2, as listed in Alexandria via LeMat-Bulk.

Cell lengths 7.5151, 7.5151, 4.6009 Å; angles 90.00, 90.00, 90.00 degrees
Positions (direct):
Sr1 0.1712 0.6712 0.5000
Sr2 0.3288 0.1712 0.5000
Sr3 0.8288 0.3288 0.5000
Sr4 0.6712 0.8288 0.5000
Au1 0.8589 0.6411 0.0000
Au2 0.1411 0.3589 0.0000
Au3 0.3589 0.8589 0.0000
Au4 0.6411 0.1411 0.0000
Be1 0.0000 0.0000 0.0000
Be2 0.5000 0.5000 0.0000

- size of the total moment (μB/f.u.) = 0.0
- density of states at the Fermi level (states/eV per cell) = 6.0
- ΔH_f (0 K) (eV/atom) = -0.2644
- final energy (eV/atom) = -2.99